i | ## Nb2C3N6 (PBE)

Data for an optimized crystal structure of Nb2C3N6.

The structure belongs to space group R32 (No. 155, hexagonal axes); the cell edges are 5.4951, 5.4951 and 15.4105 Å and the angles 90.00°, 90.00° and 120.00°. The distinct sites, in fractional coordinates, are Nb at (0.0000, 0.0000, 0.1656), C at (0.0000, 0.6792, 0.0000) and N at (0.0105, 0.6223, 0.4115).

Its density of states at the Fermi level is 6.12 states/eV/f.u.

ii | ## Nb2C3N6 (PBE)

Data for an optimized crystal structure of Nb2C3N6.

The structure belongs to space group C2/c (No. 15); the cell edges are 9.828, 5.357 and 10.763 Å and the angles 90.00°, 108.77° and 90.00°. The distinct sites, in fractional coordinates, are Nb at (0.066, 0.224, 0.499), C at (0.000, 0.422, 0.750), C at (0.166, 0.086, 0.268), N at (0.012, 0.426, 0.867), N at (0.115, 0.058, 0.148) and N at (0.213, 0.121, 0.387).

Its density of states at the Fermi level is 2.21 states/eV/f.u.

The computed energies, referenced to the most stable structure and given in kJ/mol of atoms, are i 4.3; ii 0.0.

i | ## Nb4C2N (PBE)

Data for an optimized crystal structure of Nb4C2N.

The structure belongs to space group C2/m (No. 12); the cell edges are 11.785, 3.094 and 5.423 Å and the angles 90.00°, 117.26° and 90.00°. The distinct sites, in fractional coordinates, are Nb at (0.125, 0.000, 0.298), Nb at (0.128, 0.500, 0.789), C at (0.240, 0.500, 0.241) and N at (0.000, 0.000, 0.500).

Its density of states at the Fermi level is 2.84 states/eV/f.u.

ii | ## Nb4C2N (PBE)

Data for an optimized crystal structure of Nb4C2N.

The structure belongs to space group I4/mmm (No. 139); the cell edges are 4.355, 4.355 and 10.012 Å and the angles 90.00°, 90.00° and 90.00°. The distinct sites, in fractional coordinates, are Nb at (0.000, 0.000, 0.232), Nb at (0.000, 0.500, 0.000), C at (0.000, 0.000, 0.431) and N at (0.000, 0.000, 0.000).

Its density of states at the Fermi level is 6.23 states/eV/f.u.

The computed energies, referenced to the most stable structure and given in kJ/mol of atoms, are i 0.0; ii 47.8.

i | ## NbTe2CN (PBE)

Data for an optimized crystal structure of NbTe2CN.

The structure belongs to space group P4/mmm (No. 123); the cell edges are 6.083, 6.083 and 2.633 Å and the angles 90.00°, 90.00° and 90.00°. The distinct sites, in fractional coordinates, are Nb at (0.000, 0.000, 0.000), Te at (0.000, 0.500, 0.500), C at (0.500, 0.500, 0.500) and N at (0.500, 0.500, 0.000).

Its density of states at the Fermi level is 3.61 states/eV/f.u.

ii | ## NbTe2CN (PBE)

Data for an optimized crystal structure of NbTe2CN.

The structure belongs to space group P4/mmm (No. 123); the cell edges are 5.496, 5.496 and 3.897 Å and the angles 90.00°, 90.00° and 90.00°. The distinct sites, in fractional coordinates, are Nb at (0.000, 0.000, 0.000), Te at (0.000, 0.500, 0.000), C at (0.500, 0.500, 0.500) and N at (0.000, 0.000, 0.500).

Its density of states at the Fermi level is 3.48 states/eV/f.u.

The computed energies, referenced to the most stable structure and given in kJ/mol of atoms, are i 0.0; ii 27.7.

i | ## NbTeCN2 (PBE)

Data for an optimized crystal structure of NbTeCN2.

The structure belongs to space group P4/mmm (No. 123); the cell edges are 3.914, 3.914 and 4.165 Å and the angles 90.00°, 90.00° and 90.00°. The distinct sites, in fractional coordinates, are Nb at (0.000, 0.000, 0.000), Te at (0.500, 0.500, 0.000), C at (0.500, 0.500, 0.500) and N at (0.000, 0.500, 0.500).

Its density of states at the Fermi level is 2.14 states/eV/f.u.

ii | ## NbTeCN2 (PBE)

Data for an optimized crystal structure of NbTeCN2.

The structure belongs to space group P4/mmm (No. 123); the cell edges are 3.906, 3.906 and 6.081 Å and the angles 90.00°, 90.00° and 90.00°. The distinct sites, in fractional coordinates, are Nb at (0.000, 0.000, 0.000), Te at (0.000, 0.000, 0.500), C at (0.500, 0.500, 0.500) and N at (0.000, 0.500, 0.000).

Its density of states at the Fermi level is 2.26 states/eV/f.u.

The computed energies, referenced to the most stable structure and given in kJ/mol of atoms, are i 64.4; ii 0.0.

i | ## NbVCN (PBE)

Data for an optimized crystal structure of NbVCN.

The structure belongs to space group R3m (No. 160, hexagonal axes); the cell edges are 3.0660, 3.0660 and 15.0287 Å and the angles 90.00°, 90.00° and 120.00°. The distinct sites, in fractional coordinates, are Nb at (0.0000, 0.0000, 0.0000), V at (0.0000, 0.0000, 0.5129), C at (0.0000, 0.0000, 0.2472) and N at (0.0000, 0.0000, 0.7576).

Its density of states at the Fermi level is 1.98 states/eV/f.u.

ii | ## NbVCN (PBE)

Data for an optimized crystal structure of NbVCN.

The structure belongs to space group P4/mmm (No. 123); the cell edges are 3.095, 3.095 and 4.297 Å and the angles 90.00°, 90.00° and 90.00°. The distinct sites, in fractional coordinates, are Nb at (0.000, 0.000, 0.000), V at (0.500, 0.500, 0.500), C at (0.500, 0.500, 0.000) and N at (0.000, 0.000, 0.500).

Its density of states at the Fermi level is 2.00 states/eV/f.u.

The computed energies, referenced to the most stable structure and given in kJ/mol of atoms, are i 0.0; ii 4.9.

i | ## NdCN (PBE)

Data for an optimized crystal structure of NdCN.

The structure belongs to space group Pnma (No. 62); the cell edges are 6.955, 3.691 and 6.122 Å and the angles 90.00°, 90.00° and 90.00°. The distinct sites, in fractional coordinates, are Nd at (0.190, 0.250, 0.160), C at (0.024, 0.250, 0.559) and N at (0.065, 0.250, 0.778).

Its density of states at the Fermi level is 0.84 states/eV/f.u.

ii | ## NdCN (PBE)

Data for an optimized crystal structure of NdCN.

The structure belongs to space group C2/m (No. 12); the cell edges are 7.052, 4.001 and 7.164 Å and the angles 90.00°, 94.57° and 90.00°. The distinct sites, in fractional coordinates, are Nd at (0.148, 0.000, 0.283), C at (0.061, 0.500, 0.940) and N at (0.180, 0.000, 0.620).

Its density of states at the Fermi level is 1.67 states/eV/f.u.

The computed energies, referenced to the most stable structure and given in kJ/mol of atoms, are i 0.0; ii 30.9.

i | ## NiCSN2 (PBE)

Data for an optimized crystal structure of NiCSN2.

The structure belongs to space group P4/mmm (No. 123); the cell edges are 3.369, 3.369 and 7.798 Å and the angles 90.00°, 90.00° and 90.00°. The distinct sites, in fractional coordinates, are Ni at (0.000, 0.000, 0.000), C at (0.500, 0.500, 0.500), S at (0.000, 0.000, 0.500) and N at (0.000, 0.500, 0.000).

Its density of states at the Fermi level is 2.78 states/eV/f.u.

ii | ## NiCSN2 (PBE)

Data for an optimized crystal structure of NiCSN2.

The structure belongs to space group P4/mmm (No. 123); the cell edges are 3.022, 3.022 and 7.567 Å and the angles 90.00°, 90.00° and 90.00°. The distinct sites, in fractional coordinates, are Ni at (0.000, 0.000, 0.000), C at (0.500, 0.500, 0.500), S at (0.500, 0.500, 0.000) and N at (0.000, 0.500, 0.500).

Its density of states at the Fermi level is 3.08 states/eV/f.u.

The computed energies, referenced to the most stable structure and given in kJ/mol of atoms, are i 52.8; ii 0.0.

i | ## NiCSeN2 (PBE)

Data for an optimized crystal structure of NiCSeN2.

The structure belongs to space group P4/mmm (No. 123); the cell edges are 3.387, 3.387 and 7.861 Å and the angles 90.00°, 90.00° and 90.00°. The distinct sites, in fractional coordinates, are Ni at (0.000, 0.000, 0.000), C at (0.500, 0.500, 0.500), Se at (0.000, 0.000, 0.500) and N at (0.000, 0.500, 0.000).

Its density of states at the Fermi level is 2.01 states/eV/f.u.

ii | ## NiCSeN2 (PBE)

Data for an optimized crystal structure of NiCSeN2.

The structure belongs to space group P4/mmm (No. 123); the cell edges are 3.137, 3.137 and 7.552 Å and the angles 90.00°, 90.00° and 90.00°. The distinct sites, in fractional coordinates, are Ni at (0.000, 0.000, 0.000), C at (0.500, 0.500, 0.500), Se at (0.500, 0.500, 0.000) and N at (0.000, 0.500, 0.500).

Its density of states at the Fermi level is 2.73 states/eV/f.u.

The computed energies, referenced to the most stable structure and given in kJ/mol of atoms, are i 18.7; ii 0.0.

i | ## NpCN (PBE)

Data for an optimized crystal structure of NpCN.

The structure belongs to space group P-1 (No. 2); the cell edges are 3.787, 3.793 and 5.705 Å and the angles 80.65°, 80.58° and 87.87°. The distinct sites, in fractional coordinates, are Np at (0.207, 0.208, 0.215), C at (0.374, 0.623, 0.502) and N at (0.249, 0.750, 0.001).

Its density of states at the Fermi level is 5.64 states/eV/f.u.

ii | ## NpCN (PBE)

Data for an optimized crystal structure of NpCN.

The structure belongs to space group P3m1 (No. 156); the cell edges are 3.4803, 3.4803 and 5.1837 Å and the angles 90.00°, 90.00° and 120.00°. The distinct sites, in fractional coordinates, are Np at (0.0000, 0.0000, 0.0000), C at (0.6667, 0.3333, 0.8297) and N at (0.3333, 0.6667, 0.1530).

The computed energies, referenced to the most stable structure and given in kJ/mol of atoms, are i 0.0; ii 69.3.

i | ## OsCN (PBE)

Data for an optimized crystal structure of OsCN.

The structure belongs to space group Pmm2 (No. 25); the cell edges are 2.726, 2.814 and 4.313 Å and the angles 90.00°, 90.00° and 90.00°. The distinct sites, in fractional coordinates, are Os at (0.000, 0.000, 0.000), C at (0.500, 0.000, 0.645) and N at (0.500, 0.000, 0.356).

Its density of states at the Fermi level is 2.07 states/eV/f.u.

ii | ## OsCN (PBE)

Data for an optimized crystal structure of OsCN.

The structure belongs to space group Imm2 (No. 44); the cell edges are 2.408, 2.813 and 8.882 Å and the angles 90.00°, 90.00° and 90.00°. The distinct sites, in fractional coordinates, are Os at (0.000, 0.000, 0.000), C at (0.000, 0.500, 0.186) and N at (0.000, 0.000, 0.770).

Its density of states at the Fermi level is 1.14 states/eV/f.u.

The computed energies, referenced to the most stable structure and given in kJ/mol of atoms, are i 0.0; ii 10.1.

i | ## OsCN (PBE)

Data for an optimized crystal structure of OsCN.

The structure belongs to space group Amm2 (No. 38); the cell edges are 2.760, 2.448 and 8.236 Å and the angles 90.00°, 90.00° and 90.00°. The distinct sites, in fractional coordinates, are Os at (0.000, 0.000, 0.000), C at (0.500, 0.000, 0.803) and N at (0.500, 0.000, 0.207).

Its density of states at the Fermi level is 1.23 states/eV/f.u.

ii | ## OsCN (PBE)

Data for an optimized crystal structure of OsCN.

The structure belongs to space group P6mm (No. 183); the cell edges are 2.7987, 2.7987 and 5.0893 Å and the angles 90.00°, 90.00° and 120.00°. The distinct sites, in fractional coordinates, are Os at (0.0000, 0.0000, 0.0000), C at (0.0000, 0.0000, 0.6182) and N at (0.0000, 0.0000, 0.3836).

Its density of states at the Fermi level is 1.76 states/eV/f.u.

iii | ## OsCN (PBE)

Data for an optimized crystal structure of OsCN.

The structure belongs to space group P1 (No. 1); the cell edges are 2.862, 3.490 and 3.989 Å and the angles 107.39°, 90.02° and 90.13°. The distinct sites, in fractional coordinates, are Os at (0.000, 0.000, 0.000), C at (0.000, 0.562, 0.225) and N at (0.000, 0.884, 0.494).

Its density of states at the Fermi level is 1.04 states/eV/f.u.

The computed energies, referenced to the most stable structure and given in kJ/mol of atoms, are i 7.2; ii 0.0; iii 17.8.

i | ## OsCN (PBE)

Data for an optimized crystal structure of OsCN.

The structure belongs to space group P3m1 (No. 156); the cell edges are 2.9885, 2.9885 and 3.7939 Å and the angles 90.00°, 90.00° and 120.00°. The distinct sites, in fractional coordinates, are Os at (0.0000, 0.0000, 0.0000), C at (0.6667, 0.3333, 0.6852) and N at (0.6667, 0.3333, 0.3119).

Its density of states at the Fermi level is 1.63 states/eV/f.u.

ii | ## OsCN (PBE)

Data for an optimized crystal structure of OsCN.

The structure belongs to space group Cm (No. 8); the cell edges are 6.239, 2.888 and 3.950 Å and the angles 90.00°, 109.13° and 90.00°. The distinct sites, in fractional coordinates, are Os at (0.000, 0.000, 0.000), C at (0.238, 0.500, 0.208) and N at (0.434, 0.500, 0.484).

Its density of states at the Fermi level is 1.52 states/eV/f.u.

iii | ## OsCN (PBE)

Data for an optimized crystal structure of OsCN.

The structure belongs to space group Cm (No. 8); the cell edges are 5.042, 2.890 and 4.303 Å and the angles 90.00°, 113.12° and 90.00°. The distinct sites, in fractional coordinates, are Os at (0.000, 0.000, 0.000), C at (0.443, 0.000, 0.329) and N at (0.053, 0.500, 0.661).

Its density of states at the Fermi level is 2.10 states/eV/f.u.

iv | ## OsCN (PBE)

Data for an optimized crystal structure of OsCN.

The structure belongs to space group Cm (No. 8); the cell edges are 6.539, 2.768 and 4.014 Å and the angles 90.00°, 121.90° and 90.00°. The distinct sites, in fractional coordinates, are Os at (0.000, 0.000, 0.000), C at (0.136, 0.500, 0.787) and N at (0.151, 0.500, 0.456).

Its density of states at the Fermi level is 1.30 states/eV/f.u.

The computed energies, referenced to the most stable structure and given in kJ/mol of atoms, are i 3.7; ii 8.8; iii 0.0; iv 7.8.